No. 1
This record from Alexandria via LeMat-Bulk describes a geometry-optimized PuTiCuO6 structure. The functional is PBE.

Cell and atoms, written as CIF:
```
data_PuTiCuO6
_cell_length_a 5.2939
_cell_length_b 5.2939
_cell_length_c 8.9554
_cell_angle_alpha 90.00
_cell_angle_beta 90.00
_cell_angle_gamma 120.00
_symmetry_space_group_name_H-M 'P -3 1 c'
_symmetry_Int_Tables_number 163
_symmetry_space_group_name_Hall '-P 3 2c'
loop_
_atom_site_label
_atom_site_fract_x
_atom_site_fract_y
_atom_site_fract_z
Pu1 0.3333 0.6667 0.2500
Ti1 0.3333 0.6667 0.7500
Cu1 0.0000 0.0000 0.0000
O1 0.0080 0.3544 0.6334
```

Output
Raw formation energy: -2115 meV per atom
Density of states at the Fermi level: 5.87 states/eV per cell

No. 2
This record from Alexandria via LeMat-Bulk describes a geometry-optimized Mg2Ge2Pb structure. The functional is PBE.

Cell and atoms, written as CIF:
```
data_Mg2Ge2Pb
_cell_length_a 8.3280
_cell_length_b 8.3280
_cell_length_c 3.2116
_cell_angle_alpha 90.00
_cell_angle_beta 90.00
_cell_angle_gamma 90.00
_symmetry_space_group_name_H-M 'P 4/m b m'
_symmetry_Int_Tables_number 127
_symmetry_space_group_name_Hall '-P 4 2ab'
loop_
_atom_site_label
_atom_site_fract_x
_atom_site_fract_y
_atom_site_fract_z
Mg1 0.1400 0.3600 0.0000
Ge1 0.1532 0.6532 0.5000
Pb1 0.0000 0.0000 0.5000
```

Output
ΔH_f (0 K): -0.025 eV/atom
Density of states at the Fermi level: 5.60 states/eV per cell

No. 3
This record from Alexandria via LeMat-Bulk describes a geometry-optimized TbY2Ho9 structure. The functional is PBE.

Cell and atoms, written as CIF:
```
data_TbY2Ho9
_cell_length_a 11.1872
_cell_length_b 11.1872
_cell_length_c 3.4798
_cell_angle_alpha 90.00
_cell_angle_beta 90.00
_cell_angle_gamma 120.00
_symmetry_space_group_name_H-M 'P 6/m m m'
_symmetry_Int_Tables_number 191
_symmetry_space_group_name_Hall '-P 6 2'
loop_
_atom_site_label
_atom_site_fract_x
_atom_site_fract_y
_atom_site_fract_z
Tb1 0.0000 0.0000 0.0000
Y1 0.3333 0.6667 0.0000
Ho1 0.0000 0.5000 0.0000
Ho2 0.1759 0.3519 0.5000
```

Output
ΔH_f (0 K): 0.058 eV/atom
Density of states at the Fermi level: 18.91 states/eV per cell

No. 4
This record from Alexandria via LeMat-Bulk describes a geometry-optimized YSi3Mo structure. The functional is PBE.

Cell and atoms, written as CIF:
```
data_YSi3Mo
_cell_length_a 5.0138
_cell_length_b 5.0138
_cell_length_c 5.0138
_cell_angle_alpha 90.00
_cell_angle_beta 90.00
_cell_angle_gamma 90.00
_symmetry_space_group_name_H-M 'P m -3 m'
_symmetry_Int_Tables_number 221
_symmetry_space_group_name_Hall '-P 4 2 3'
loop_
_atom_site_label
_atom_site_fract_x
_atom_site_fract_y
_atom_site_fract_z
Y1 0.0000 0.0000 0.0000
Si1 0.0000 0.0000 0.5000
Mo1 0.5000 0.5000 0.5000
```

Output
Raw formation energy: 1947 meV per atom
Density of states at the Fermi level: 8.32 states/eV per cell

No. 5
This record from Alexandria via LeMat-Bulk describes a geometry-optimized LaSc2 structure. The functional is PBE.

Cell and atoms, written as CIF:
```
data_LaSc2
_cell_length_a 3.4151
_cell_length_b 3.4151
_cell_length_c 14.6311
_cell_angle_alpha 90.00
_cell_angle_beta 90.00
_cell_angle_gamma 90.00
_symmetry_space_group_name_H-M 'I 4/m m m'
_symmetry_Int_Tables_number 139
_symmetry_space_group_name_Hall '-I 4 2'
loop_
_atom_site_label
_atom_site_fract_x
_atom_site_fract_y
_atom_site_fract_z
La1 0.0000 0.0000 0.0000
Sc1 0.0000 0.0000 0.3251
```

Output
ΔH_f (0 K): 0.084 eV/atom
Density of states at the Fermi level: 11.44 states/eV per cell

No. 6
This record from Alexandria via LeMat-Bulk describes a geometry-optimized Sm7Y2Tm3 structure. The functional is PBE.

Cell and atoms, written as CIF:
```
data_Sm7Y2Tm3
_cell_length_a 6.3994
_cell_length_b 3.5396
_cell_length_c 17.4518
_cell_angle_alpha 90.00
_cell_angle_beta 95.99
_cell_angle_gamma 90.00
_symmetry_space_group_name_H-M 'P 1 2/m 1'
_symmetry_Int_Tables_number 10
loop_
_symmetry_equiv_pos_as_xyz
'x,y,z'
'-x,-y,-z'
'-x,y,-z'
'x,-y,z'
loop_
_atom_site_label
_atom_site_fract_x
_atom_site_fract_y
_atom_site_fract_z
Sm1 0.0000 0.0000 0.0000
Sm2 0.2270 0.5000 0.1710
Sm3 0.2582 0.5000 0.4963
Sm4 0.2752 0.0000 0.8346
Y1 0.0589 0.5000 0.6708
Tm1 0.4533 0.0000 0.3417
Tm2 0.5000 0.5000 0.0000
```

Output
ΔH_f (0 K): 0.072 eV/atom
Density of states at the Fermi level: 17.71 states/eV per cell

No. 7
This record from Alexandria via LeMat-Bulk describes a geometry-optimized La2TlI6 structure. The functional is PBE.

Cell and atoms, written as CIF:
```
data_La2TlI6
_cell_length_a 8.4478
_cell_length_b 8.4478
_cell_length_c 21.8265
_cell_angle_alpha 90.00
_cell_angle_beta 90.00
_cell_angle_gamma 120.00
_symmetry_space_group_name_H-M 'R 3'
_symmetry_Int_Tables_number 146
_symmetry_space_group_name_Hall 'R 3'
loop_
_atom_site_label
_atom_site_fract_x
_atom_site_fract_y
_atom_site_fract_z
La1 0.0000 0.0000 0.0000
La2 0.0000 0.0000 0.1726
Tl1 0.0000 0.0000 0.4988
I1 0.0183 0.3413 0.9230
I2 0.0377 0.6879 0.7531
```

Output
Raw formation energy: -1265 meV per atom

No. 8
This record from Alexandria via LeMat-Bulk describes a geometry-optimized NdY4Rh5 structure. The functional is PBE.

Cell and atoms, written as CIF:
```
data_NdY4Rh5
_cell_length_a 3.4241
_cell_length_b 3.4241
_cell_length_c 17.6452
_cell_angle_alpha 90.00
_cell_angle_beta 90.00
_cell_angle_gamma 90.00
_symmetry_space_group_name_H-M 'P 4/m m m'
_symmetry_Int_Tables_number 123
_symmetry_space_group_name_Hall '-P 4 2'
loop_
_atom_site_label
_atom_site_fract_x
_atom_site_fract_y
_atom_site_fract_z
Nd1 0.0000 0.0000 0.0000
Y1 0.0000 0.0000 0.2035
Y2 0.0000 0.0000 0.4013
Rh1 0.5000 0.5000 0.1060
Rh2 0.5000 0.5000 0.3026
Rh3 0.5000 0.5000 0.5000
```

Output
ΔH_f (0 K): -0.789 eV/atom
Density of states at the Fermi level: 6.92 states/eV per cell

No. 9
This record from Alexandria via LeMat-Bulk describes a geometry-optimized PIr3Br structure. The functional is PBE.

Cell and atoms, written as CIF:
```
data_PIr3Br
_cell_length_a 4.4920
_cell_length_b 4.4920
_cell_length_c 4.4920
_cell_angle_alpha 90.00
_cell_angle_beta 90.00
_cell_angle_gamma 90.00
_symmetry_space_group_name_H-M 'P m -3 m'
_symmetry_Int_Tables_number 221
_symmetry_space_group_name_Hall '-P 4 2 3'
loop_
_atom_site_label
_atom_site_fract_x
_atom_site_fract_y
_atom_site_fract_z
P1 0.0000 0.0000 0.0000
Ir1 0.0000 0.0000 0.5000
Br1 0.5000 0.5000 0.5000
```

Output
Raw formation energy: 982 meV per atom
Density of states at the Fermi level: 8.57 states/eV per cell

No. 10
This record from Alexandria via LeMat-Bulk describes a geometry-optimized TlCoAu2 structure. The functional is PBE.

Cell and atoms, written as CIF:
```
data_TlCoAu2
_cell_length_a 4.0573
_cell_length_b 4.0573
_cell_length_c 4.3272
_cell_angle_alpha 90.00
_cell_angle_beta 90.00
_cell_angle_gamma 90.00
_symmetry_space_group_name_H-M 'P 4/m m m'
_symmetry_Int_Tables_number 123
_symmetry_space_group_name_Hall '-P 4 2'
loop_
_atom_site_label
_atom_site_fract_x
_atom_site_fract_y
_atom_site_fract_z
Tl1 0.0000 0.0000 0.0000
Co1 0.5000 0.5000 0.0000
Au1 0.0000 0.5000 0.5000
```

Output
ΔH_f (0 K): 0.321 eV/atom
Density of states at the Fermi level: 4.24 states/eV per cell

no.,energy (eV per cell)
1,-150.2
2,-32.5
3,-58.1
4,-23.8
5,-34.7
6,-58.5
7,-98.7
8,-75.3
9,-28.8
10,-14.7